Here is a relaxed Nd2Sm4Ga3O2 crystal from Alexandria via LeMat-Bulk. Energies are from PBE.

* crystal system: tetragonal
* calculated total energy: -5.63 eV/atom

CIF file:
```
data_Nd2Sm4Ga3O2
_cell_length_a 4.769
_cell_length_b 4.769
_cell_length_c 23.840
_cell_angle_alpha 90.00
_cell_angle_beta 90.00
_cell_angle_gamma 90.00
_space_group_name_H-M_alt 'I 4/m m m'
_space_group_IT_number 139
_space_group_name_Hall '-I 4 2'
loop_
_atom_site_label
_atom_site_type_symbol
_atom_site_fract_x
_atom_site_fract_y
_atom_site_fract_z
Nd1 Nd 0.000 0.000 0.202
Sm1 Sm 0.000 0.500 0.082
Ga1 Ga 0.000 0.000 0.331
Ga2 Ga 0.000 0.000 0.500
O1 O 0.000 0.000 0.100
```